The following is a PBE calculation of a relaxed RbAgHgSe crystal, from the Alexandria database.

Lattice parameters (Å, degrees): 4.521 4.521 12.375 90.00 90.00 90.00
Space group P4/nmm (No. 129, origin choice 2)
One atom of each set of equivalent atoms:
Rb 0.250 0.250 0.236 (multiplicity 2)
Ag 0.250 0.750 0.000 (multiplicity 2)
Hg 0.250 0.750 0.500 (multiplicity 2)
Se 0.250 0.250 0.868 (multiplicity 2)

The total energy is -2.36 eV per atom. For the formation energy from raw total energies, the calculation gives -0.458 eV/atom. For the density of states at the Fermi level, the calculation gives 0.16 states/eV/atom.

The following is a PBE calculation of a relaxed Sr3PrRh8 crystal, from the Alexandria database.

Lattice parameters (Å, degrees): 5.4674 5.4674 26.8829 90.00 90.00 120.00
Space group R3m (No. 160, hexagonal axes)
One atom of each set of equivalent atoms:
Sr 0.0000 0.0000 0.0000 (multiplicity 3)
Sr 0.0000 0.0000 0.1238 (multiplicity 3)
Sr 0.0000 0.0000 0.4970 (multiplicity 3)
Pr 0.0000 0.0000 0.6232 (multiplicity 3)
Rh 0.0000 0.0000 0.3109 (multiplicity 3)
Rh 0.0000 0.0000 0.8110 (multiplicity 3)
Rh 0.0015 0.5007 0.5621 (multiplicity 9)
Rh 0.1677 0.3354 0.3931 (multiplicity 9)

The total energy is -6.09 eV per atom. For the density of states at the Fermi level, the calculation gives 1.17 states/eV/atom.

The following is a PBE calculation of a relaxed Zr3AlIr crystal, from the Alexandria database.

Lattice parameters (Å, degrees): 5.046 5.046 5.046 90.00 90.00 90.00
Space group Pm-3m (No. 221)
One atom of each set of equivalent atoms:
Zr 0.000 0.000 0.500 (multiplicity 3)
Al 0.500 0.500 0.500 (multiplicity 1)
Ir 0.000 0.000 0.000 (multiplicity 1)

The value obtained for the energy above the most stable polymorph in this dataset is 0 meV/atom. The total energy is -7.48 eV per atom. For the density of states at the Fermi level, the calculation gives 1.39 states/eV/atom.

The following is a PBE calculation of a relaxed Tb6SmTm12 crystal, from the Alexandria database.

Lattice parameters (Å, degrees): 14.7207 14.7207 10.3343 90.00 90.00 120.00
Space group R-3m (No. 166, hexagonal axes)
One atom of each set of equivalent atoms:
Tb 0.0688 0.5344 0.2211 (multiplicity 18)
Sm 0.0000 0.0000 0.0000 (multiplicity 3)
Tm 0.0000 0.3879 0.5000 (multiplicity 18)
Tm 0.0780 0.1561 0.2607 (multiplicity 18)

The total energy is -4.08 eV per atom. For the density of states at the Fermi level, the calculation gives 1.61 states/eV/atom.

- The lowest density of states at the Fermi level belongs to which entry?
  RbAgHgSe